5
Lattice="-3.9705 0.8701 0.6218 -1.0598 -2.8808 -2.7361 -0.1753 -3.4275 3.6767" Properties=species:S:1:pos:R:3 comment="YTeSN2 PBE-GGA relaxed" de_polymorph_ev_per_atom=0.000 dft_energy_ev_per_atom=-5.7366 dos_ef_per_ev_cell=3.1 e_form_raw_mev_per_atom=340 crystal_system=tetragonal spacegroup="No. 123" rho_g_cm3=5.40 pbc="T T T"
Y -2.6028 -2.7191 0.7813
N -0.5299 -1.4404 -1.3680
Te 0.0000 0.0000 0.0000
N -1.9852 0.4350 0.3109
S -0.0876 -1.7138 1.8384

***

6
Lattice="4.2157 -0.1238 -2.2144 -2.6793 3.9332 -0.2046 -0.1378 0.1553 4.8540" Properties=species:S:1:pos:R:3 comment="Ti2Cr3Fe PBE-GGA relaxed" dft_energy_ev_per_atom=-9.0073 dos_ef_per_ev_cell=5.4 crystal_system=trigonal delta_e_f_mev_per_atom=-153 spacegroup="No. 166" rho_g_cm3=6.49 pbc="T T T"
Fe 0.0000 0.0000 0.0000
Cr 2.0389 0.0157 1.3198
Cr -0.0689 0.0776 2.4270
Ti -0.7362 2.5688 3.5778
Cr 0.6993 1.9824 1.2175
Ti 2.1347 1.3959 -1.1428

***

4
Lattice="-0.3160 3.1335 4.1437 -0.8807 -2.2268 4.6211 3.2644 -0.6995 -3.9930" Properties=species:S:1:pos:R:3 comment="CaFe2Rh PBE-GGA relaxed" dft_energy_ev_per_atom=-6.2207 dos_ef_per_ev_cell=5.8 crystal_system=tetragonal delta_e_f_mev_per_atom=349 spacegroup="No. 139" rho_g_cm3=6.50 pbc="T T T"
Rh 0.8926 -1.2365 2.5053
Fe 0.0000 0.0000 0.0000
Fe -0.5984 0.4533 4.3824
Ca 1.1750 1.4436 2.2666

***

12
Lattice="-4.7187 -0.8792 -2.9810 4.5846 -0.9820 -3.1531 0.0428 -3.5215 4.4184" Properties=species:S:1:pos:R:3 comment="HfGaGe2O8 PBE-GGA relaxed" dft_energy_ev_per_atom=-7.0175 dos_ef_per_ev_cell=9.8 e_form_raw_mev_per_atom=-1861 crystal_system=tetragonal spacegroup="No. 119" rho_g_cm3=6.24 pbc="T T T"
O -1.4371 -1.4477 0.1030
O -0.8948 -3.2349 2.2457
O -0.9968 -2.1279 -3.9280
Ge -2.3714 -2.6657 -0.8148
Ge -0.0670 -0.9306 -3.0670
O 0.8534 -1.4565 -1.6829
O -1.4988 -3.9035 -1.7659
Hf 2.2802 -2.7170 -0.9008
Ga 0.0000 0.0000 0.0000
O -3.2535 -3.1572 0.6614
O -3.2964 -2.1541 -2.2575
O 0.8558 -3.9461 -0.0660

***

13
Lattice="6.2150 -0.0004 -3.3530 -4.0118 5.8116 -0.0005 1.5412 1.0647 10.2931" Properties=species:S:1:pos:R:3 comment="Tb8Tm4Mg PBE-GGA relaxed" dft_energy_ev_per_atom=-4.1530 dos_ef_per_ev_cell=17.3 crystal_system=trigonal delta_e_f_mev_per_atom=195 spacegroup="No. 166" rho_g_cm3=7.87 pbc="T T T"
Tb 6.2317 2.0635 4.1142
Tm -2.0059 2.9058 -0.0002
Mg -1.2353 3.4382 5.1463
Tb 0.9520 4.9478 1.7640
Tb 1.1663 5.0961 5.7174
Tb 2.5781 1.7798 1.2222
Tb 4.1384 5.0959 4.1139
Tm 0.0000 0.0000 0.0000
Tm 3.1075 -0.0002 -1.6765
Tb -0.3940 1.7800 2.8257
Tm 1.1016 2.9056 -1.6767
Tb -2.4873 4.8124 2.8254
Tb 2.7924 1.9280 5.1756

***

8
Lattice="4.0441 0.0000 0.0000 0.0000 4.0441 0.0000 2.0221 2.0221 10.9247" Properties=species:S:1:pos:R:3 comment="CaMgTa2 PBE-GGA relaxed" dft_energy_ev_per_atom=-5.9161 dos_ef_per_ev_cell=7.7 crystal_system=tetragonal delta_e_f_mev_per_atom=909 spacegroup="No. 122" rho_g_cm3=7.92 pbc="T T T"
Mg 2.0221 2.0221 0.0000
Ta 3.0331 3.0666 8.1936
Ta 5.0552 5.0216 8.1936
Ta 2.9996 1.0110 2.7312
Ta 1.0446 3.0331 2.7312
Ca 4.0441 2.0221 5.4624
Mg 2.0221 4.0441 5.4624
Ca 0.0000 0.0000 0.0000

***

10
Lattice="7.7037 0.0000 0.0000 0.0000 7.7037 0.0000 0.0000 0.0000 3.8814" Properties=species:S:1:pos:R:3 comment="Cd2As2Se PBE-GGA relaxed" de_polymorph_ev_per_atom=0.000 dft_energy_ev_per_atom=-2.7761 dos_ef_per_ev_cell=5.5 e_form_raw_mev_per_atom=147 crystal_system=tetragonal spacegroup="No. 127" rho_g_cm3=6.54 pbc="T T T"
As 5.3305 1.4787 0.0000
Cd 1.0061 4.8579 1.9407
Cd 6.6975 2.8457 1.9407
Se 3.8518 3.8518 0.0000
As 1.4787 2.3731 0.0000
Se 0.0000 0.0000 0.0000
As 6.2249 5.3305 0.0000
Cd 2.8457 1.0061 1.9407
Cd 4.8579 6.6975 1.9407
As 2.3731 6.2249 0.0000

***

12
Lattice="-3.2881 0.9972 -2.1341 -2.9719 -1.4174 3.9166 0.3740 8.1586 3.2362" Properties=species:S:1:pos:R:3 comment="CaYCu10 PBE-GGA relaxed" dft_energy_ev_per_atom=-4.2747 dos_ef_per_ev_cell=6.8 crystal_system=orthorhombic delta_e_f_mev_per_atom=-156 spacegroup="No. 47" rho_g_cm3=6.98 pbc="T T T"
Cu -2.3021 2.2132 0.7482
Cu -3.5838 5.5253 4.2706
Cu -1.1746 6.0831 4.6523
Ca 0.0000 0.0000 0.0000
Cu -3.7677 1.5143 2.6796
Cu -1.4233 0.6582 2.5005
Y -1.2989 3.3706 3.5764
Cu 0.1251 2.7291 1.0825
Cu 0.2489 5.4295 2.1537
Cu -3.1300 -0.2101 0.8913
Cu -1.4570 4.5779 0.5511
Cu -2.1183 6.2242 2.3392

***

6
Lattice="0.0000 3.8333 3.8333 3.8333 0.0000 3.8333 3.8333 3.8333 0.0000" Properties=species:S:1:pos:R:3 comment="SrZnPt4 PBE-GGA relaxed" dft_energy_ev_per_atom=-5.0366 dos_ef_per_ev_cell=5.7 crystal_system=cubic delta_e_f_mev_per_atom=-517 spacegroup="No. 216" rho_g_cm3=13.76 pbc="T T T"
Pt 4.7965 2.8701 4.7965
Sr 5.7499 5.7499 5.7499
Pt 2.8701 4.7965 4.7965
Zn 0.0000 0.0000 0.0000
Pt 4.7965 4.7965 2.8701
Pt 2.8701 2.8701 2.8701

***

8
Lattice="-2.2859 4.3738 6.4389 -5.3626 -3.3091 0.3460 6.9839 -5.2035 0.9067" Properties=species:S:1:pos:R:3 comment="TaTl2Te5 PBE-GGA relaxed" dft_energy_ev_per_atom=-4.1696 dos_ef_per_ev_cell=3.3 e_form_raw_mev_per_atom=-133 crystal_system=orthorhombic spacegroup="No. 44" rho_g_cm3=5.62 pbc="T T T"
Ta -0.8695 -3.8368 7.4140
Tl 0.0956 0.3570 4.9032
Tl -1.4160 -3.5226 1.8904
Te -2.0220 -2.1317 5.8475
Te -5.4910 0.5505 5.3882
Te -1.7533 -0.0849 1.9478
Te -2.9166 2.1391 5.2217
Te -4.3274 -1.6741 2.1141

***

12
Lattice="6.3914 -0.0037 0.0063 -3.1973 5.5342 0.0063 -1.0810 -1.8718 11.9796" Properties=species:S:1:pos:R:3 comment="La3Tb2Pr6Ho PBE-GGA relaxed" dft_energy_ev_per_atom=-4.7573 dos_ef_per_ev_cell=19.7 crystal_system=monoclinic delta_e_f_mev_per_atom=18 spacegroup="No. 12" rho_g_cm3=6.84 pbc="T T T"
Pr -0.0117 3.6658 9.0672
La 4.2507 -0.0154 5.9961
La 1.0565 1.8294 5.9961
Pr 3.1811 1.8219 9.0672
La -2.1376 3.6741 5.9961
Pr -0.0136 -0.0236 9.0580
Pr 2.1267 3.6823 2.9342
Pr 2.1247 -0.0071 2.9250
Tb 3.1948 1.8425 0.0063
Ho 0.0000 0.0000 0.0000
Pr -1.0680 1.8368 2.9250
Tb -0.0007 3.6880 0.0063

***

8
Lattice="-2.9622 -3.3018 -0.0026 1.4810 -1.3317 3.9636 -2.9511 2.6460 1.9917" Properties=species:S:1:pos:R:3 comment="Al3GaN4 PBE-GGA relaxed" de_polymorph_ev_per_atom=0.016 dft_energy_ev_per_atom=-7.1043 dos_ef_per_ev_cell=0.0 e_form_raw_mev_per_atom=-1160 crystal_system=cubic spacegroup="No. 215" rho_g_cm3=3.93 pbc="T T T"
Al -2.9566 -0.3279 0.9946
Ga 0.0000 0.0000 0.0000
Al -0.7406 -2.3168 1.9805
N -1.8574 -2.7706 3.4570
N -1.1343 -0.5086 1.5234
N -4.0210 -0.8288 2.4944
N -1.8519 0.1329 4.4306
Al -0.7350 0.6571 2.9776